# 1
A relaxed Pr2PuSn4Pt3 crystal. Source: Alexandria via LeMat-Bulk, functional GGA-PBE.

The calculation puts the density of states at the Fermi level at 1.53 states/eV per atom. The calculation puts the formation energy at -0.6787 eV per atom.

abc: 4.444 4.444 12.547
angles: 90.00 90.00 90.00
Space group P-4m2 (No. 115)
One atom of each set of equivalent atoms:
Pr (0.000, 0.500, 0.228) (multiplicity 2)
Pu (0.000, 0.000, 0.500) (multiplicity 1)
Sn (0.000, 0.000, 0.000) (multiplicity 1)
Sn (0.000, 0.500, 0.666) (multiplicity 2)
Sn (0.500, 0.500, 0.000) (multiplicity 1)
Pt (0.000, 0.500, 0.875) (multiplicity 2)
Pt (0.500, 0.500, 0.500) (multiplicity 1)

=====

# 2
A relaxed BaCaSe2 crystal. Source: Alexandria via LeMat-Bulk, functional GGA-PBE.

The value obtained for the energy relative to the elements, uncorrected is -1.7584 eV per atom. The value obtained for the distance to the lowest polymorph of the same formula is 0.242 eV per atom. The calculation puts the density of states at the Fermi level at 0.00 states/eV per atom.

abc: 4.074 3.940 7.900
angles: 90.00 103.71 90.00
Space group P2/m (No. 10)
One atom of each set of equivalent atoms:
Ba (0.000, 0.000, 0.000) (multiplicity 1)
Ca (0.500, 0.000, 0.500) (multiplicity 1)
Se (0.354, 0.500, 0.743) (multiplicity 2)

=====

# 3
A relaxed SrYMgAl crystal. Source: Alexandria via LeMat-Bulk, functional GGA-PBE.

The calculation puts the density of states at the Fermi level at 0.70 states/eV per atom. The calculation puts the formation energy at -0.1217 eV per atom.

abc: 7.706 7.706 7.706
angles: 90.00 90.00 90.00
Space group F-43m (No. 216)
One atom of each set of equivalent atoms:
Sr (0.000, 0.000, 0.000) (multiplicity 4)
Y (0.000, 0.000, 0.500) (multiplicity 4)
Mg (0.250, 0.250, 0.750) (multiplicity 4)
Al (0.250, 0.250, 0.250) (multiplicity 4)

=====

# 4
A relaxed Mn2Tc crystal. Source: Alexandria via LeMat-Bulk, functional GGA-PBE.

The value obtained for the distance to the lowest polymorph of the same formula is 1.134 eV per atom. The calculation puts the density of states at the Fermi level at 1.03 states/eV per atom. The calculation puts the formation energy at 1.0522 eV per atom.

abc: 5.699 5.699 5.699
angles: 90.00 90.00 90.00
Space group Pa-3 (No. 205)
One atom of each set of equivalent atoms:
Mn (0.123, 0.123, 0.123) (multiplicity 8)
Tc (0.000, 0.000, 0.500) (multiplicity 4)

=====

# 5
A relaxed NaCI2O crystal. Source: Alexandria via LeMat-Bulk, functional GGA-PBE.

The value obtained for the energy relative to the elements, uncorrected is 0.5150 eV per atom. The value obtained for the distance to the lowest polymorph of the same formula is 0.000 eV per atom. The calculation puts the density of states at the Fermi level at 0.78 states/eV per atom.

abc: 5.979 5.979 3.202
angles: 90.00 90.00 90.00
Space group P4/mmm (No. 123)
One atom of each set of equivalent atoms:
Na (0.000, 0.000, 0.000) (multiplicity 1)
C (0.500, 0.500, 0.500) (multiplicity 1)
I (0.000, 0.500, 0.500) (multiplicity 2)
O (0.500, 0.500, 0.000) (multiplicity 1)

=====

# 6
A relaxed Pu2ThPaBi4 crystal. Source: Alexandria via LeMat-Bulk, functional GGA-PBE.

The calculation puts the density of states at the Fermi level at 3.38 states/eV per atom. The calculation puts the formation energy at -0.3005 eV per atom.

abc: 5.860 5.858 6.850
angles: 90.00 90.07 90.00
Space group P2/m (No. 10)
One atom of each set of equivalent atoms:
Pu (0.000, 0.000, 0.000) (multiplicity 1)
Pu (0.500, 0.500, 0.000) (multiplicity 1)
Th (0.000, 0.000, 0.500) (multiplicity 1)
Pa (0.500, 0.500, 0.500) (multiplicity 1)
Bi (0.000, 0.500, 0.251) (multiplicity 2)
Bi (0.500, 0.000, 0.251) (multiplicity 2)